Sc2HgSb: relaxed, GGA-PBE.

Output
The excess energy over the best structure of this formula in the dataset is 29.4 meV/atom.

Unit cell a=4.6451 b=4.6451 c=8.3501 alpha=90.00 beta=90.00 gamma=90.00
Closest atoms and distances in Å follow each position.
Space group I4/mmm (No. 139)
Asymmetric unit:
Sc: 0.0000 0.5000 0.2500 x4  4 Hg 3.12, 4 Sb 3.12, 4 Sc 3.28
Hg: 0.0000 0.0000 0.0000 x2  8 Sc 3.12, 4 Sb 3.28
Sb: 0.0000 0.0000 0.5000 x2  8 Sc 3.12, 4 Hg 3.28

---

ScHgSb2: relaxed, GGA-PBE.

Unit cell a=4.1425 b=4.1425 c=6.0097 alpha=90.00 beta=90.00 gamma=90.00
Closest atoms and distances in Å follow each position.
Space group P4mm (No. 99)
Asymmetric unit:
Sc: 0.0000 0.0000 0.0000 x1  6 Sb 2.97-3.04
Hg: 0.5000 0.5000 0.3606 x1  6 Sb 2.90-3.11
Sb: 0.0000 0.0000 0.4938 x1  2 Sc 2.97-3.04, 4 Hg 3.04
Sb: 0.5000 0.5000 0.8780 x1  2 Hg 2.90-3.11, 4 Sc 3.02

---

ScHg2Sb: relaxed, GGA-PBE.

Unit cell a=4.2137 b=4.6016 c=9.7506 alpha=90.00 beta=90.00 gamma=90.00
Closest atoms and distances in Å follow each position.
Space group Imm2 (No. 44)
Asymmetric unit:
Sc: 0.0000 0.0000 0.0000 x2  6 Hg 3.08-3.12, 2 Sb 3.12
Hg: 0.0000 0.0000 0.5101 x2  4 Sc 3.12, 4 Sb 3.18-3.41, 4 Hg 3.28-3.29
Hg: 0.0000 0.5000 0.2698 x2  2 Sc 3.08, 4 Sb 3.14, 4 Hg 3.28-3.29
Sb: 0.0000 0.5000 0.7357 x2  4 Sc 3.12-3.45, 8 Hg 3.14-3.41

---

Sc2HgSb: relaxed, GGA-PBE.

Output
The excess energy over the best structure of this formula in the dataset is 541.0 meV/atom.

Unit cell a=7.2859 b=7.2859 c=7.2859 alpha=90.00 beta=90.00 gamma=90.00
Closest atoms and distances in Å follow each position.
Space group F-43m (No. 216)
Asymmetric unit:
Sc: 0.0000 0.0000 0.0000 x4  4 Hg 3.15, 4 Sc 3.15
Sc: 0.2500 0.2500 0.2500 x4  4 Sb 3.15, 4 Sc 3.15
Hg: 0.2500 0.2500 0.7500 x4  4 Sb 3.15, 4 Sc 3.15
Sb: 0.0000 0.0000 0.5000 x4  4 Hg 3.15, 4 Sc 3.15

---

These records have mass density values of 7.6; 7.9; 10.0; 7.1 g cm⁻³, in the order they appear.
These records have electronic total energy values of -4.804; -4.032; -2.992; -4.292 eV per atom, in the order they appear.
These records have formation energy (no corrections) values of -0.532; -0.313; -0.228; -0.020 eV/atom, in the order they appear.